No. 1
First-principles (PBE) data for a relaxed structure of Ca3YHo3Te8, as listed in Alexandria via LeMat-Bulk.

POSCAR file:
```
Ca3YHo3Te8
1.0
8.736 0.000 0.000
-4.368 7.563 -0.029
0.000 -5.017 7.342
Te Ca Ho Y
8 3 3 1
Direct
0.748 0.496 0.743 Te
0.743 0.994 0.744 Te
0.251 0.994 0.744 Te
0.749 0.006 0.256 Te
0.251 0.502 0.744 Te
0.749 0.498 0.256 Te
0.257 0.006 0.256 Te
0.252 0.504 0.257 Te
0.000 0.000 0.000 Ca
0.000 0.500 0.000 Ca
0.500 0.500 0.000 Ca
0.500 0.000 0.500 Ho
0.500 0.500 0.500 Ho
0.000 0.500 0.500 Ho
0.000 0.000 0.500 Y
```

Output
The calculation puts the formation energy without anion corrections at -1.479 eV/atom.

---

No. 2
First-principles (PBE) data for a relaxed structure of Ca3Y2HoTe6, as listed in Alexandria via LeMat-Bulk.

POSCAR file:
```
Ca3Y2HoTe6
1.0
7.604 0.003 0.000
-3.798 6.588 0.000
-1.270 -2.199 7.330
Te Ca Ho Y
6 3 1 2
Direct
0.587 0.919 0.755 Te
0.919 0.587 0.755 Te
0.413 0.081 0.245 Te
0.250 0.250 0.754 Te
0.750 0.750 0.246 Te
0.081 0.413 0.245 Te
0.833 0.167 0.500 Ca
0.500 0.500 0.500 Ca
0.167 0.833 0.500 Ca
0.000 0.000 0.000 Ho
0.334 0.666 0.000 Y
0.666 0.334 0.000 Y
```

Output
The calculation puts the formation energy without anion corrections at -1.460 eV/atom.

---

No. 3
First-principles (PBE) data for a relaxed structure of Ca3YHo2Te6, as listed in Alexandria via LeMat-Bulk.

POSCAR file:
```
Ca3YHo2Te6
1.0
-3.239 -4.657 -5.051
6.984 2.702 -1.269
1.614 -5.115 5.589
Te Y Ho Ca
6 1 2 3
Direct
0.919 0.584 0.756 Te
0.254 0.254 0.756 Te
0.416 0.081 0.244 Te
0.584 0.919 0.756 Te
0.081 0.416 0.244 Te
0.746 0.746 0.244 Te
0.000 0.000 0.000 Y
0.333 0.667 0.000 Ho
0.667 0.333 0.000 Ho
0.500 0.500 0.500 Ca
0.166 0.834 0.500 Ca
0.834 0.166 0.500 Ca
```

Output
The calculation puts the formation energy without anion corrections at -1.449 eV/atom.

---

No. 4
First-principles (PBE) data for a relaxed structure of Ca3Y3HoTe8, as listed in Alexandria via LeMat-Bulk.

POSCAR file:
```
Ca3Y3HoTe8
1.0
8.760 0.000 0.000
-4.380 7.585 -0.028
0.000 -5.031 7.359
Te Y Ca Ho
8 3 3 1
Direct
0.254 0.005 0.256 Te
0.249 0.498 0.744 Te
0.748 0.497 0.745 Te
0.751 0.502 0.256 Te
0.249 0.995 0.744 Te
0.746 0.995 0.744 Te
0.252 0.503 0.255 Te
0.751 0.005 0.256 Te
0.500 0.500 0.500 Y
0.000 0.500 0.500 Y
0.500 0.000 0.500 Y
0.500 0.500 0.000 Ca
0.000 0.500 0.000 Ca
0.000 0.000 0.000 Ca
0.000 0.000 0.500 Ho
```

Output
The calculation puts the formation energy without anion corrections at -1.494 eV/atom.

---

No. 5
First-principles (PBE) data for a relaxed structure of Ca4YHo3Te8, as listed in Alexandria via LeMat-Bulk.

POSCAR file:
```
Ca4YHo3Te8
1.0
-4.281 -3.287 6.911
6.310 -6.197 0.961
2.251 8.475 -0.138
Te Ho Ca Y
8 3 4 1
Direct
0.748 0.743 0.496 Te
0.249 0.744 0.996 Te
0.249 0.744 0.498 Te
0.751 0.256 0.004 Te
0.252 0.257 0.504 Te
0.747 0.744 0.996 Te
0.751 0.256 0.502 Te
0.253 0.256 0.004 Te
0.000 0.500 0.500 Ho
0.500 0.500 0.000 Ho
0.500 0.500 0.500 Ho
0.000 0.000 0.000 Ca
0.500 0.000 0.500 Ca
0.500 0.000 0.000 Ca
0.000 0.000 0.500 Ca
0.000 0.500 0.000 Y
```

Output
The calculation puts the formation energy without anion corrections at -1.446 eV/atom.

---

No. 6
First-principles (PBE) data for a relaxed structure of CaY2Ho3Te6, as listed in Alexandria via LeMat-Bulk.

POSCAR file:
```
CaY2Ho3Te6
1.0
4.369 0.000 0.000
0.000 8.750 0.302
-2.184 -2.537 9.187
Y Ho Te Ca
2 3 6 1
Direct
0.172 0.343 0.344 Y
0.828 0.657 0.656 Y
0.833 0.175 0.666 Ho
0.500 0.500 0.000 Ho
0.167 0.825 0.334 Ho
0.664 0.583 0.327 Te
0.332 0.919 0.664 Te
0.001 0.253 0.003 Te
0.999 0.747 0.997 Te
0.668 0.081 0.336 Te
0.336 0.417 0.673 Te
0.500 0.000 0.000 Ca
```

Output
The calculation puts the formation energy without anion corrections at -1.332 eV/atom.

---

No. 7
First-principles (PBE) data for a relaxed structure of CaHoTh2, as listed in Alexandria via LeMat-Bulk.

POSCAR file:
```
CaHoTh2
1.0
-1.693 1.212 -2.863
-0.016 -3.263 -1.372
-9.406 -1.947 4.738
Ca Ho Th
1 1 2
Direct
0.500 0.500 0.000 Ca
0.500 0.500 0.500 Ho
0.000 0.000 0.267 Th
0.000 0.000 0.733 Th
```

Output
As for the formation energy: 0.146 eV/atom.

---

No. 8
First-principles (PBE) data for a relaxed structure of Ca2HoTh, as listed in Alexandria via LeMat-Bulk.

POSCAR file:
```
Ca2HoTh
1.0
3.517 0.000 0.000
1.759 3.046 0.000
1.759 1.015 13.221
Th Ho Ca
1 1 2
Direct
0.000 0.000 0.000 Th
0.500 0.500 0.500 Ho
0.911 0.911 0.267 Ca
0.089 0.089 0.733 Ca
```

Output
As for the formation energy: 0.286 eV/atom.

---

No. 9
First-principles (PBE) data for a relaxed structure of CaHoTh2, as listed in Alexandria via LeMat-Bulk.

POSCAR file:
```
CaHoTh2
1.0
-0.373 1.461 4.981
-4.894 -1.187 -0.019
1.131 -4.686 1.459
Th Ho Ca
2 1 1
Direct
0.000 0.500 0.000 Th
0.000 0.000 0.500 Th
0.500 0.000 0.000 Ho
0.500 0.500 0.500 Ca
```

Output
As for the formation energy: 0.184 eV/atom.

---

No. 10
First-principles (PBE) data for a relaxed structure of CaHoTh2, as listed in Alexandria via LeMat-Bulk.

POSCAR file:
```
CaHoTh2
1.0
-2.643 2.248 -0.452
-2.892 -1.016 -1.688
-7.004 -3.414 10.426
Th Ho Ca
2 1 1
Direct
0.910 0.910 0.270 Th
0.090 0.090 0.730 Th
0.500 0.500 0.500 Ho
0.000 0.000 0.000 Ca
```

Output
As for the formation energy: 0.235 eV/atom.

---

No. 11
First-principles (PBE) data for a relaxed structure of CaHo2Th, as listed in Alexandria via LeMat-Bulk.

POSCAR file:
```
CaHo2Th
1.0
3.814 0.000 0.000
0.000 5.878 0.000
0.000 0.000 5.878
Ho Th Ca
2 1 1
Direct
0.000 0.500 0.000 Ho
0.000 0.000 0.500 Ho
0.500 0.000 0.000 Th
0.500 0.500 0.500 Ca
```

Output
As for the formation energy: 0.179 eV/atom.

---

No. 12
First-principles (PBE) data for a relaxed structure of CaHo2Th, as listed in Alexandria via LeMat-Bulk.

POSCAR file:
```
CaHo2Th
1.0
-3.526 0.157 -0.865
-0.875 -0.990 3.385
-0.251 9.841 2.814
Ho Th Ca
2 1 1
Direct
0.000 0.000 0.226 Ho
0.000 0.000 0.774 Ho
0.500 0.500 0.000 Th
0.500 0.500 0.500 Ca
```

Output
As for the formation energy: 0.046 eV/atom.